No. 1
Density functional theory data (PBE) for a relaxed Ti6In2Ir crystal.

Magnetic moment   0.00 μB/f.u.
Crystal system   monoclinic
Raw total energy   -6.719 eV per atom
Calculated volume   21.0 A^3/atom

Cell lengths 7.7024, 7.7024, 4.3881 Å; angles 106.34, 106.34, 49.88 degrees
Fractional positions:
Ti (0.0757, 0.6139, 0.3462)
Ti (0.2249, 0.7751, 0.0000)
Ti (0.3861, 0.9243, 0.6538)
Ti (0.6139, 0.0757, 0.3462)
Ti (0.7751, 0.2249, 0.0000)
Ti (0.9243, 0.3861, 0.6538)
In (0.3341, 0.3341, 0.8358)
In (0.6659, 0.6659, 0.1642)
Ir (0.0000, 0.0000, 0.5000)

=====

No. 2
Density functional theory data (PBE) for a relaxed Ti4InIr crystal.

Magnetic moment   0.00 μB/f.u.
Energy relative to the lowest polymorph listed for this composition   347.8 meV/atom
Crystal system   tetragonal
Calculated volume   20.4 A^3/atom

Cell lengths 4.2955, 4.2955, 6.6392 Å; angles 90.00, 90.00, 90.00 degrees
Fractional positions:
Ti (0.0000, 0.5000, 0.2198)
Ti (0.0000, 0.5000, 0.7802)
Ti (0.5000, 0.0000, 0.2198)
Ti (0.5000, 0.0000, 0.7802)
In (0.0000, 0.0000, 0.5000)
Ir (0.5000, 0.5000, 0.0000)

=====

No. 3
Density functional theory data (PBE) for a relaxed Ti4InIr crystal.

Magnetic moment   0.00 μB/f.u.
Energy relative to the lowest polymorph listed for this composition   0.0 meV/atom
Crystal system   monoclinic
Calculated volume   17.0 A^3/atom

Cell lengths 5.3704, 5.3704, 6.5225 Å; angles 107.55, 107.55, 34.82 degrees
Fractional positions:
Ti (0.1610, 0.1610, 0.3524)
Ti (0.1701, 0.1701, 0.8153)
Ti (0.8299, 0.8299, 0.1847)
Ti (0.8390, 0.8390, 0.6476)
In (0.5000, 0.5000, 0.0000)
Ir (0.5000, 0.5000, 0.5000)

=====

No. 4
Density functional theory data (PBE) for a relaxed TiInIr2 crystal.

Magnetic moment   0.00 μB/f.u.
Crystal system   tetragonal
Raw total energy   -7.631 eV per atom
Calculated volume   16.2 A^3/atom

Cell lengths 2.9969, 2.9969, 7.2234 Å; angles 90.00, 90.00, 90.00 degrees
Fractional positions:
Ti (0.0000, 0.0000, 0.0000)
In (0.0000, 0.0000, 0.5000)
Ir (0.5000, 0.5000, 0.2244)
Ir (0.5000, 0.5000, 0.7756)

=====

No. 5
Density functional theory data (PBE) for a relaxed TiInIr2 crystal.

Magnetic moment   0.00 μB/f.u.
Crystal system   tetragonal
Raw total energy   -6.588 eV per atom
Calculated volume   24.5 A^3/atom

Cell lengths 7.0769, 7.0769, 7.0769 Å; angles 131.29, 131.29, 71.36 degrees
Fractional positions:
Ti (0.0000, 0.0000, 0.0000)
Ti (0.7500, 0.2500, 0.5000)
In (0.2500, 0.7500, 0.5000)
In (0.5000, 0.5000, 0.0000)
Ir (0.0893, 0.6250, 0.9643)
Ir (0.3750, 0.3393, 0.4643)
Ir (0.6607, 0.1250, 0.0357)
Ir (0.8750, 0.9107, 0.5357)

=====

No. 6
Density functional theory data (PBE) for a relaxed TiIn3Ir crystal.

Magnetic moment   0.18 μB/f.u.
Energy relative to the lowest polymorph listed for this composition   0.0 meV/atom
Crystal system   cubic
Calculated volume   26.3 A^3/atom

Cell lengths 5.0870, 5.0870, 5.0870 Å; angles 90.00, 90.00, 90.00 degrees
Fractional positions:
Ti (0.0000, 0.0000, 0.0000)
In (0.0000, 0.5000, 0.5000)
In (0.5000, 0.0000, 0.5000)
In (0.5000, 0.5000, 0.0000)
Ir (0.5000, 0.5000, 0.5000)

=====

No. 7
Density functional theory data (PBE) for a relaxed Ti6InIr2 crystal.

Magnetic moment   0.00 μB/f.u.
Crystal system   monoclinic
Raw total energy   -7.994 eV per atom
Calculated volume   16.5 A^3/atom

Cell lengths 7.1182, 7.1182, 7.3157 Å; angles 109.96, 109.96, 25.26 degrees
Fractional positions:
Ti (0.0566, 0.0566, 0.3497)
Ti (0.1677, 0.1677, 0.9808)
Ti (0.2746, 0.2746, 0.6711)
Ti (0.7254, 0.7254, 0.3289)
Ti (0.8323, 0.8323, 0.0192)
Ti (0.9434, 0.9434, 0.6503)
In (0.5000, 0.5000, 0.0000)
Ir (0.3863, 0.3863, 0.3414)
Ir (0.6137, 0.6137, 0.6586)

=====

No. 8
Density functional theory data (PBE) for a relaxed Ti2In2Ir crystal.

Magnetic moment   0.24 μB/f.u.
Energy relative to the lowest polymorph listed for this composition   310.1 meV/atom
Crystal system   tetragonal
Calculated volume   19.4 A^3/atom

Cell lengths 8.3661, 8.3661, 8.3661 Å; angles 156.00, 156.00, 34.20 degrees
Fractional positions:
Ti (0.2500, 0.7500, 0.5000)
Ti (0.7500, 0.2500, 0.5000)
In (0.0941, 0.0941, 0.0000)
In (0.9059, 0.9059, 0.0000)
Ir (0.5000, 0.5000, 0.0000)

=====

No. 9
Density functional theory data (PBE) for a relaxed TiIn2Ir crystal.

Magnetic moment   0.00 μB/f.u.
Crystal system   tetragonal
Raw total energy   -5.356 eV per atom
Calculated volume   20.4 A^3/atom

Cell lengths 6.0907, 6.0907, 6.0907 Å; angles 102.03, 102.03, 125.68 degrees
Fractional positions:
Ti (0.0000, 0.0000, 0.0000)
Ti (0.7500, 0.2500, 0.5000)
In (0.1490, 0.1250, 0.5240)
In (0.3750, 0.8510, 0.9760)
In (0.6010, 0.6250, 0.4760)
In (0.8750, 0.3990, 0.0240)
Ir (0.2500, 0.7500, 0.5000)
Ir (0.5000, 0.5000, 0.0000)

=====

No. 10
Density functional theory data (PBE) for a relaxed Ti12In3Ir crystal.

Magnetic moment   0.00 μB/f.u.
Crystal system   tetragonal
Raw total energy   -7.181 eV per atom
Calculated volume   17.6 A^3/atom

Cell lengths 4.2311, 4.2311, 15.6890 Å; angles 90.00, 90.00, 90.00 degrees
Fractional positions:
Ti (0.0000, 0.0000, 0.0000)
Ti (0.0000, 0.0000, 0.2381)
Ti (0.0000, 0.0000, 0.5000)
Ti (0.0000, 0.0000, 0.7619)
Ti (0.0000, 0.5000, 0.1066)
Ti (0.0000, 0.5000, 0.3707)
Ti (0.0000, 0.5000, 0.6293)
Ti (0.0000, 0.5000, 0.8934)
Ti (0.5000, 0.0000, 0.1066)
Ti (0.5000, 0.0000, 0.3707)
Ti (0.5000, 0.0000, 0.6293)
Ti (0.5000, 0.0000, 0.8934)
In (0.5000, 0.5000, 0.2396)
In (0.5000, 0.5000, 0.5000)
In (0.5000, 0.5000, 0.7604)
Ir (0.5000, 0.5000, 0.0000)

=====

No. 11
Density functional theory data (PBE) for a relaxed Ti3InIr3 crystal.

Magnetic moment   0.00 μB/f.u.
Crystal system   cubic
Raw total energy   -8.136 eV per atom
Calculated volume   16.8 A^3/atom

Cell lengths 7.7712, 7.7712, 7.7712 Å; angles 90.00, 90.00, 90.00 degrees
Fractional positions:
Ti (0.1194, 0.3806, 0.6194)
Ti (0.1570, 0.8430, 0.3430)
Ti (0.2183, 0.2183, 0.2183)
Ti (0.2817, 0.7817, 0.7183)
Ti (0.3430, 0.1570, 0.8430)
Ti (0.3806, 0.6194, 0.1194)
Ti (0.6194, 0.1194, 0.3806)
Ti (0.6570, 0.6570, 0.6570)
Ti (0.7183, 0.2817, 0.7817)
Ti (0.7817, 0.7183, 0.2817)
Ti (0.8430, 0.3430, 0.1570)
Ti (0.8806, 0.8806, 0.8806)
In (0.0552, 0.5552, 0.9448)
In (0.4448, 0.4448, 0.4448)
In (0.5552, 0.9448, 0.0552)
In (0.9448, 0.0552, 0.5552)
Ir (0.0159, 0.1940, 0.9037)
Ir (0.0963, 0.5159, 0.3060)
Ir (0.1940, 0.9037, 0.0159)
Ir (0.3060, 0.0963, 0.5159)
Ir (0.4037, 0.4841, 0.8060)
Ir (0.4841, 0.8060, 0.4037)
Ir (0.5159, 0.3060, 0.0963)
Ir (0.5963, 0.9841, 0.6940)
Ir (0.6940, 0.5963, 0.9841)
Ir (0.8060, 0.4037, 0.4841)
Ir (0.9037, 0.0159, 0.1940)
Ir (0.9841, 0.6940, 0.5963)

=====

No. 12
Density functional theory data (PBE) for a relaxed Ti5InIr4 crystal.

Magnetic moment   0.00 μB/f.u.
Crystal system   tetragonal
Raw total energy   -8.479 eV per atom
Calculated volume   15.9 A^3/atom

Cell lengths 2.9515, 2.9515, 18.2837 Å; angles 90.00, 90.00, 90.00 degrees
Fractional positions:
Ti (0.0000, 0.0000, 0.0000)
Ti (0.0000, 0.0000, 0.1899)
Ti (0.0000, 0.0000, 0.3772)
Ti (0.0000, 0.0000, 0.6228)
Ti (0.0000, 0.0000, 0.8101)
In (0.5000, 0.5000, 0.5000)
Ir (0.5000, 0.5000, 0.0986)
Ir (0.5000, 0.5000, 0.2826)
Ir (0.5000, 0.5000, 0.7174)
Ir (0.5000, 0.5000, 0.9014)

=====

No. 13
Density functional theory data (PBE) for a relaxed TiInIr2 crystal.

Magnetic moment   0.00 μB/f.u.
Crystal system   tetragonal
Raw total energy   -7.544 eV per atom
Calculated volume   16.1 A^3/atom

Cell lengths 4.2178, 4.2178, 3.6198 Å; angles 90.00, 90.00, 90.00 degrees
Fractional positions:
Ti (0.0000, 0.0000, 0.0000)
In (0.5000, 0.5000, 0.0000)
Ir (0.0000, 0.5000, 0.5000)
Ir (0.5000, 0.0000, 0.5000)

=====

No. 14
Density functional theory data (PBE) for a relaxed Ti5In2Ir2 crystal.

Magnetic moment   0.00 μB/f.u.
Crystal system   orthorhombic
Raw total energy   -7.305 eV per atom
Calculated volume   19.0 A^3/atom

Cell lengths 7.9151, 7.9151, 6.5351 Å; angles 90.00, 90.00, 56.80 degrees
Fractional positions:
Ti (0.0000, 0.0000, 0.0000)
Ti (0.0680, 0.7035, 0.6663)
Ti (0.2035, 0.5680, 0.1663)
Ti (0.2965, 0.9320, 0.6663)
Ti (0.4320, 0.7965, 0.1663)
Ti (0.5000, 0.5000, 0.5000)
Ti (0.5680, 0.2035, 0.8337)
Ti (0.7035, 0.0680, 0.3337)
Ti (0.7965, 0.4320, 0.8337)
Ti (0.9320, 0.2965, 0.3337)
In (0.2184, 0.2184, 0.0000)
In (0.2816, 0.2816, 0.5000)
In (0.7184, 0.7184, 0.5000)
In (0.7816, 0.7816, 0.0000)
Ir (0.1283, 0.8717, 0.3607)
Ir (0.3717, 0.6283, 0.8607)
Ir (0.6283, 0.3717, 0.1393)
Ir (0.8717, 0.1283, 0.6393)

=====

No. 15
Density functional theory data (PBE) for a relaxed Ti3InIr4 crystal.

Magnetic moment   0.00 μB/f.u.
Crystal system   tetragonal
Raw total energy   -8.427 eV per atom
Calculated volume   15.6 A^3/atom

Cell lengths 4.1631, 4.1631, 7.1860 Å; angles 90.00, 90.00, 90.00 degrees
Fractional positions:
Ti (0.0000, 0.0000, 0.0000)
Ti (0.0000, 0.0000, 0.5000)
Ti (0.5000, 0.5000, 0.0000)
In (0.5000, 0.5000, 0.5000)
Ir (0.0000, 0.5000, 0.2414)
Ir (0.0000, 0.5000, 0.7586)
Ir (0.5000, 0.0000, 0.2414)
Ir (0.5000, 0.0000, 0.7586)

=====

No. 16
Density functional theory data (PBE) for a relaxed TiIn3Ir crystal.

Magnetic moment   0.50 μB/f.u.
Energy relative to the lowest polymorph listed for this composition   780.9 meV/atom
Crystal system   cubic
Calculated volume   27.4 A^3/atom

Cell lengths 5.1560, 5.1560, 5.1560 Å; angles 90.00, 90.00, 90.00 degrees
Fractional positions:
Ti (0.0000, 0.0000, 0.0000)
In (0.0000, 0.0000, 0.5000)
In (0.0000, 0.5000, 0.0000)
In (0.5000, 0.0000, 0.0000)
Ir (0.5000, 0.5000, 0.5000)

=====

No. 17
Density functional theory data (PBE) for a relaxed TiIn2Ir crystal.

Magnetic moment   1.31 μB/f.u.
Crystal system   cubic
Raw total energy   -5.626 eV per atom
Calculated volume   18.1 A^3/atom

Cell lengths 4.6768, 4.6768, 4.6768 Å; angles 60.00, 60.00, 60.00 degrees
Fractional positions:
Ti (0.0000, 0.0000, 0.0000)
In (0.2500, 0.2500, 0.2500)
In (0.7500, 0.7500, 0.7500)
Ir (0.5000, 0.5000, 0.5000)

=====

No. 18
Density functional theory data (PBE) for a relaxed TiIn2Ir2 crystal.

Magnetic moment   0.00 μB/f.u.
Crystal system   tetragonal
Raw total energy   -6.473 eV per atom
Calculated volume   18.5 A^3/atom

Cell lengths 6.6411, 6.6411, 4.1958 Å; angles 90.00, 90.00, 90.00 degrees
Fractional positions:
Ti (0.0000, 0.0000, 0.0000)
Ti (0.5000, 0.5000, 0.0000)
In (0.1701, 0.3299, 0.5000)
In (0.3299, 0.8299, 0.5000)
In (0.6701, 0.1701, 0.5000)
In (0.8299, 0.6701, 0.5000)
Ir (0.1385, 0.6385, 0.0000)
Ir (0.3615, 0.1385, 0.0000)
Ir (0.6385, 0.8615, 0.0000)
Ir (0.8615, 0.3615, 0.0000)

=====

No. 19
Density functional theory data (PBE) for a relaxed Ti3InIr crystal.

Magnetic moment   0.00 μB/f.u.
Energy relative to the lowest polymorph listed for this composition   0.0 meV/atom
Crystal system   monoclinic
Calculated volume   18.2 A^3/atom

Cell lengths 5.2107, 5.2107, 9.3961 Å; angles 99.05, 99.05, 46.55 degrees
Fractional positions:
Ti (0.0397, 0.0397, 0.3594)
Ti (0.1478, 0.1478, 0.9450)
Ti (0.3004, 0.3004, 0.2560)
Ti (0.6996, 0.6996, 0.7440)
Ti (0.8522, 0.8522, 0.0550)
Ti (0.9603, 0.9603, 0.6406)
In (0.4240, 0.4240, 0.8490)
In (0.5760, 0.5760, 0.1510)
Ir (0.2144, 0.2144, 0.5964)
Ir (0.7856, 0.7856, 0.4036)

=====

No. 20
Density functional theory data (PBE) for a relaxed Ti4In5Ir2 crystal.

Magnetic moment   0.00 μB/f.u.
Crystal system   monoclinic
Raw total energy   -6.109 eV per atom
Calculated volume   19.2 A^3/atom

Cell lengths 7.5050, 3.0420, 9.2529 Å; angles 90.00, 93.69, 90.00 degrees
Fractional positions:
Ti (0.1983, 0.0000, 0.3528)
Ti (0.2040, 0.0000, 0.9283)
Ti (0.7960, 0.0000, 0.0717)
Ti (0.8017, 0.0000, 0.6472)
In (0.1488, 0.5000, 0.6339)
In (0.4706, 0.5000, 0.1665)
In (0.5000, 0.5000, 0.5000)
In (0.5294, 0.5000, 0.8335)
In (0.8512, 0.5000, 0.3661)
Ir (0.0866, 0.5000, 0.1373)
Ir (0.9134, 0.5000, 0.8627)

=====

No. 21
Density functional theory data (PBE) for a relaxed TiVInIr crystal.

Magnetic moment   2.97 μB/f.u.
Crystal system   cubic
Raw total energy   -7.482 eV per atom
Calculated volume   16.3 A^3/atom

Cell lengths 4.5183, 4.5183, 4.5183 Å; angles 60.00, 60.00, 60.00 degrees
Fractional positions:
Ti (0.0000, 0.0000, 0.0000)
V (0.2500, 0.2500, 0.2500)
In (0.5000, 0.5000, 0.5000)
Ir (0.7500, 0.7500, 0.7500)

=====

No. 22
Density functional theory data (PBE) for a relaxed TlInIr4 crystal.

Magnetic moment   0.00 μB/f.u.
Crystal system   cubic
Raw total energy   -6.328 eV per atom
Calculated volume   17.9 A^3/atom

Cell lengths 5.3344, 5.3344, 5.3344 Å; angles 60.00, 60.00, 60.00 degrees
Fractional positions:
Tl (0.0000, 0.0000, 0.0000)
In (0.7500, 0.7500, 0.7500)
Ir (0.3750, 0.3750, 0.3750)
Ir (0.3750, 0.3750, 0.8749)
Ir (0.3750, 0.8749, 0.3750)
Ir (0.8749, 0.3750, 0.3750)

=====

No. 23
Density functional theory data (PBE) for a relaxed TlInIr2 crystal.

Magnetic moment   0.00 μB/f.u.
Energy relative to the lowest polymorph listed for this composition   88.1 meV/atom
Crystal system   tetragonal
Calculated volume   20.8 A^3/atom

Cell lengths 2.9097, 2.9097, 9.8047 Å; angles 90.00, 90.00, 90.00 degrees
Fractional positions:
Tl (0.0000, 0.0000, 0.0000)
In (0.5000, 0.5000, 0.3579)
Ir (0.0000, 0.0000, 0.5792)
Ir (0.5000, 0.5000, 0.7512)

=====

No. 24
Density functional theory data (PBE) for a relaxed TlInIr2 crystal.

Magnetic moment   0.00 μB/f.u.
Energy relative to the lowest polymorph listed for this composition   0.0 meV/atom
Crystal system   tetragonal
Calculated volume   17.8 A^3/atom

Cell lengths 3.1325, 3.1325, 7.2547 Å; angles 90.00, 90.00, 90.00 degrees
Fractional positions:
Tl (0.0000, 0.0000, 0.0000)
In (0.0000, 0.0000, 0.5000)
Ir (0.5000, 0.5000, 0.2599)
Ir (0.5000, 0.5000, 0.7401)